PBE Zn3Cu4Ag, optimized geometry; DOS at the Fermi energy = 1.88 states/eV/f.u.; formation energy = -26 kJ/mol of formula units; energy = -2.92 eV/atom
1.0
4.3986 0.0000 0.0000
0.0000 5.7306 0.0000
0.0000 0.0000 8.6245
Zn Ag Cu
6 2 8
Direct
0.0000 0.0000 0.0000
0.0000 0.0000 0.5000
0.6089 0.0000 0.7500
0.3911 0.0000 0.2500
0.5897 0.5000 0.7500
0.4103 0.5000 0.2500
0.0000 0.5000 0.0000
0.0000 0.5000 0.5000
0.5000 0.7634 0.0000
0.5000 0.7634 0.5000
0.5000 0.2366 0.0000
0.5000 0.2366 0.5000
0.1136 0.7647 0.7500
0.8864 0.7647 0.2500
0.8864 0.2353 0.2500
0.1136 0.2353 0.7500